[1]
SCAN TcRh2W, PBEsol geometry; energy above the lowest structure with this stoichiometry = 306 meV/atom; uncorrected energy = -42.997 eV/atom; D(E_F) = 3.6 states/eV/cell
1.0
3.211 0.000 0.000
0.000 3.211 0.000
0.000 0.000 5.552
Rh Tc W
2 1 1
direct
0.000 0.000 0.998
0.500 0.500 0.253
0.000 0.000 0.492
0.500 0.500 0.758


[2]
SCAN Tc2RhW, PBEsol geometry; energy above the lowest structure with this stoichiometry = 0 meV/atom; uncorrected energy = -43.467 eV/atom; D(E_F) = 3.2 states/eV/cell
1.0
-2.158 -1.927 -2.511
2.493 -2.908 0.088
-1.972 -1.601 2.923
Rh Tc W
1 2 1
direct
0.000 0.000 0.500
0.000 0.500 0.000
0.500 0.000 0.000
0.500 0.500 0.500


[3]
SCAN YTcRh2, PBEsol geometry; energy above the lowest structure with this stoichiometry = 0 meV/atom; uncorrected energy = -32.762 eV/atom; D(E_F) = 3.2 states/eV/cell
1.0
-3.677 -1.087 -1.332
1.607 -3.438 -1.630
0.395 0.407 4.763
Rh Tc Y
2 1 1
direct
0.752 0.752 0.504
0.248 0.248 0.496
0.500 0.000 0.000
0.000 0.500 0.000


[4]
SCAN YTcRh2, PBEsol geometry; energy above the lowest structure with this stoichiometry = 120 meV/atom; uncorrected energy = -32.642 eV/atom; D(E_F) = 4.1 states/eV/cell
1.0
2.851 0.000 0.000
-1.426 4.555 0.042
0.000 -0.924 4.984
Rh Tc Y
2 1 1
direct
0.744 0.488 0.712
0.256 0.512 0.288
0.000 0.000 0.500
0.500 0.000 0.000


[5]
SCAN YTc2Rh2, PBEsol geometry; uncorrected energy = -33.234 eV/atom; D(E_F) = 4.3 states/eV/cell
1.0
-0.107 -3.719 -0.007
0.247 0.000 -3.712
6.020 1.684 2.265
Y Rh Tc
1 2 2
direct
0.000 0.000 0.000
0.397 0.397 0.794
0.603 0.603 0.206
0.250 0.750 0.500
0.750 0.250 0.500


[6]
SCAN Zn2TcRh, PBEsol geometry; energy above the lowest structure with this stoichiometry = 31 meV/atom; uncorrected energy = -23.971 eV/atom; D(E_F) = 2.9 states/eV/cell
1.0
-1.822 1.903 -0.286
-2.867 -2.451 1.956
1.679 1.485 4.322
Rh Tc Zn
1 1 2
direct
0.500 0.500 0.000
0.000 0.500 0.500
0.709 0.000 0.750
0.291 0.000 0.250


[7]
SCAN ZnTc2Rh, PBEsol geometry; uncorrected energy = -29.325 eV/atom; D(E_F) = 2.9 states/eV/cell
1.0
2.678 0.000 0.000
1.339 2.320 0.000
1.339 0.773 8.814
Rh Tc Zn
1 2 1
direct
0.000 0.000 0.000
0.251 0.251 0.246
0.749 0.749 0.754
0.500 0.500 0.500


[8]
SCAN Zn2TcRh, PBEsol geometry; energy above the lowest structure with this stoichiometry = 54 meV/atom; uncorrected energy = -23.947 eV/atom; D(E_F) = 2.4 states/eV/cell
1.0
2.758 0.000 0.000
0.000 4.377 0.000
0.000 0.000 4.542
Rh Tc Zn
1 1 2
direct
0.500 0.500 0.000
0.000 0.500 0.500
0.000 0.000 0.000
0.500 0.000 0.500


| no. | formation energy (meV per atom) |
| --- | --- |
| 1 | 76 |
| 2 | -72 |
| 3 | -151 |
| 4 | -31 |
| 5 | -133 |
| 6 | -5 |
| 7 | 27 |
| 8 | 18 |